[1]
Tm4ScAs5, relaxed, DFT PBE-GGA; total magnetization = 0.00 μB per atom; space-group type = I4/m (87); energy relative to the elements = -1471 meV/atom
1.0
5.140 0.000 2.479
2.570 6.369 1.240
-0.197 0.000 6.976
Tm Sc As
4 1 5
direct
0.403 0.398 0.798 Tm
0.801 0.798 0.602 Tm
0.201 0.202 0.398 Tm
0.599 0.602 0.202 Tm
0.001 0.000 0.000 Sc
0.903 0.393 0.804 As
0.295 0.804 0.607 As
0.707 0.196 0.393 As
0.099 0.607 0.196 As
0.501 0.000 0.000 As

=====

[2]
LaRu2W, relaxed, DFT PBE-GGA; total magnetization = 0.00 μB per atom; space-group type = P4/mmm (123); energy relative to the elements = 363 meV/atom
1.0
-1.057 3.238 3.478
-0.027 -3.567 3.313
2.979 0.439 0.497
La Ru W
1 2 1
direct
0.000 0.500 0.500 La
0.000 0.000 0.000 Ru
0.500 0.500 0.000 Ru
0.500 0.000 0.500 W

=====

[3]
Ba4LiAg, relaxed, DFT PBE-GGA; total magnetization = 0.00 μB per atom; space-group type = P4/mmm (123); energy relative to the elements = 36 meV/atom
1.0
5.919 0.000 -0.001
0.000 5.921 -0.002
0.005 0.008 8.432
Ba Li Ag
4 1 1
direct
0.501 0.997 0.259 Ba
0.501 0.998 0.737 Ba
0.002 0.498 0.737 Ba
0.001 0.497 0.259 Ba
0.501 0.497 0.998 Li
0.001 0.997 0.498 Ag

=====

[4]
VNi3, relaxed, DFT PBE-GGA; total magnetization = 0.00 μB per atom; space-group type = Imm2 (44); energy relative to the elements = -90 meV/atom
1.0
-1.146 0.165 2.309
-3.808 -0.793 -1.833
3.040 -3.700 0.328
Ni V
3 1
direct
0.248 0.592 0.497 Ni
0.500 0.492 0.000 Ni
0.752 0.095 0.503 Ni
0.000 0.989 0.000 V

=====

[5]
CsTbSn, relaxed, DFT PBE-GGA; total magnetization = 0.00 μB per atom; space-group type = C2/m (12); energy relative to the elements = -220 meV/atom
1.0
5.324 0.000 0.000
-2.662 4.607 -0.060
0.000 -2.930 12.279
Sn Cs Tb
2 2 2
direct
0.221 0.442 0.160 Sn
0.779 0.558 0.840 Sn
0.383 0.766 0.652 Cs
0.617 0.234 0.348 Cs
0.865 0.729 0.093 Tb
0.135 0.271 0.907 Tb

=====

[6]
BeTe2Cl, relaxed, DFT PBE-GGA; total magnetization = 0.00 μB per atom; space-group type = Cmmm (65); formation energy without anion corrections = 0.60 eV per atom
1.0
-2.293 3.997 2.734
1.183 -3.351 4.009
2.836 1.400 0.333
Be Te Cl
1 2 1
direct
0.500 0.000 0.500 Be
0.000 0.000 0.000 Te
0.500 0.500 0.000 Te
0.000 0.500 0.500 Cl